DFT (GGA-PBE) results for a geometry-optimized Na2ScGeO4 structure.

POSCAR file:
```
Na2ScGeO4
1.0
-0.740 3.896 -4.046
-4.715 1.644 -1.522
-0.242 5.117 1.004
Sc O Na Ge
1 4 2 1
Cartesian
0.000 0.000 0.000
-1.572 0.935 -0.912
-0.503 3.868 -2.017
-3.535 2.771 -2.751
-0.826 6.978 -2.930
-2.848 5.328 -2.282
-2.479 3.380 -0.259
-0.370 1.948 -2.023
```

Summary:
SG   No. 121
DFT total energy   -6.016 eV/atom
Mass density   3.5 g/cm3
Uncorrected formation energy   -1.839 eV per atom

---

DFT (GGA-PBE) results for a geometry-optimized NaGe2SeO6 structure.

POSCAR file:
```
NaGe2SeO6
1.0
-4.564 -3.396 -0.157
2.614 -6.140 -2.533
0.110 -3.188 6.386
O Se Ge Na
12 2 4 2
Cartesian
-1.068 -4.726 0.969
-0.821 -5.552 5.782
-3.490 -6.259 1.388
0.503 -7.948 0.169
-0.771 -7.998 2.727
1.651 -6.465 2.308
-0.708 -3.148 5.017
-1.132 -9.576 -1.322
-2.342 -4.775 3.527
-1.018 -7.171 -2.086
-3.009 -8.195 4.472
1.170 -4.528 -0.776
-0.356 -4.833 3.942
-1.484 -7.891 -0.246
-2.659 -4.724 1.792
0.083 -3.569 0.231
-1.922 -9.154 3.465
0.820 -7.999 1.904
-3.052 -6.041 5.340
1.213 -6.682 -1.644
```

Summary:
SG   No. 15
DFT total energy   -5.634 eV/atom
Mass density   4.2 g/cm3
Uncorrected formation energy   -1.255 eV per atom

---

DFT (GGA-PBE) results for a geometry-optimized NaGeSe2O8 structure.

POSCAR file:
```
NaGeSe2O8
1.0
-1.890 5.206 1.003
-4.248 0.780 3.741
0.664 1.932 7.016
O Ge Na Se
8 1 1 2
Cartesian
-3.147 6.421 8.125
-2.328 1.497 3.636
-1.083 3.716 2.183
-2.077 3.786 8.022
-5.316 6.746 10.068
-4.392 4.202 9.577
-0.159 1.172 1.693
-3.398 4.132 3.738
0.000 0.000 0.000
-2.738 3.959 5.880
-1.600 2.049 2.145
-3.875 5.869 9.615
```

Summary:
SG   No. 12
DFT total energy   -5.206 eV/atom
Mass density   3.9 g/cm3
Uncorrected formation energy   -0.825 eV per atom